w:
This record from Alexandria describes a relaxed structure of NbS3F. The functional is PBE.

The structure in extended XYZ format:
```
10
Lattice="-2.1282 2.1282 13.6001 2.1282 -2.1282 13.6001 2.1282 2.1282 -13.6001" Properties=species:S:1:pos:R:3 pbc="T T T"
Nb 0.0000 0.0000 0.0000
Nb 0.0000 2.1282 6.8000
S 2.1282 0.0000 1.1066
S 0.0000 0.9917 4.5272
S 2.1282 0.0000 12.4934
S -1.1365 2.1282 9.0729
S 1.1365 2.1282 9.0729
S 0.0000 3.2647 4.5272
F 0.0000 0.0000 7.1345
F 0.0000 0.0000 20.0656
```

Summary:
Symmetry: I-4m2
DOS at the Fermi energy, states/eV/cell: 3.9


x:
This record from Alexandria describes a relaxed structure of NbS3F. The functional is PBE.

The structure in extended XYZ format:
```
5
Lattice="4.2858 0.0000 0.0000 0.0000 4.2858 0.0000 0.0000 0.0000 4.2858" Properties=species:S:1:pos:R:3 pbc="T T T"
Nb 0.0000 0.0000 0.0000
S 0.0000 2.1429 2.1429
S 2.1429 0.0000 2.1429
S 2.1429 2.1429 0.0000
F 2.1429 2.1429 2.1429
```

Summary:
Symmetry: Pm-3m
DOS at the Fermi energy, states/eV/cell: 8.1


If we sort the structures by their calculated energies, the order from most to least stable is w, x.


w:
This record from Alexandria describes a relaxed structure of Nb2SF. The functional is PBE.

The structure in extended XYZ format:
```
8
Lattice="-3.2424 3.2424 2.8653 3.2424 -3.2424 2.8653 3.2424 3.2424 -2.8653" Properties=species:S:1:pos:R:3 pbc="T T T"
Nb 4.8636 1.5226 -0.7163
Nb 1.5226 1.6212 0.7163
Nb -1.6212 1.7199 2.1490
Nb 1.7199 1.6212 3.5816
S 3.2424 0.0000 1.4326
S 0.0000 0.0000 2.8653
F 0.0000 0.0000 0.0000
F 0.0000 3.2424 1.4326
```

Summary:
Symmetry: I-42d
DOS at the Fermi energy, states/eV/cell: 4.2


x:
This record from Alexandria describes a relaxed structure of Nb2SF. The functional is PBE.

The structure in extended XYZ format:
```
4
Lattice="0.0000 3.0330 3.0330 3.0330 0.0000 3.0330 3.0330 3.0330 0.0000" Properties=species:S:1:pos:R:3 pbc="T T T"
Nb 1.5165 1.5165 1.5165
Nb 4.5495 4.5495 4.5495
S 0.0000 0.0000 0.0000
F 3.0330 3.0330 3.0330
```

Summary:
Symmetry: Fm-3m
DOS at the Fermi energy, states/eV/cell: 6.8


If we sort the structures by their calculated energies, the order from most to least stable is x, w.


w:
This record from Alexandria describes a relaxed structure of NbSF2. The functional is PBE.

The structure in extended XYZ format:
```
8
Lattice="-1.8568 1.8568 7.7088 1.8568 -1.8568 7.7088 1.8568 1.8568 -7.7088" Properties=species:S:1:pos:R:3 pbc="T T T"
Nb 0.0000 0.0000 0.0000
Nb 0.0000 1.8568 3.8544
S 1.8568 0.0000 3.8544
S 0.0000 0.0000 7.7088
F 2.7852 0.5946 -1.9272
F 0.5946 0.9284 1.9272
F -0.9284 1.2623 5.7816
F 1.2623 0.9284 9.6360
```

Summary:
Symmetry: I-42d
DOS at the Fermi energy, states/eV/cell: 3.5


x:
This record from Alexandria describes a relaxed structure of NbSF2. The functional is PBE.

The structure in extended XYZ format:
```
8
Lattice="2.9332 0.0000 0.0000 0.0000 9.9380 0.0000 -1.4649 0.0000 4.6478" Properties=species:S:1:pos:R:3 pbc="T T T"
Nb 0.0033 2.4845 1.8955
Nb 1.4650 7.4535 2.7524
S -0.0018 7.4535 0.8753
S 1.4701 2.4845 3.7725
F -0.0016 5.9657 3.2767
F -0.0016 8.9413 3.2767
F 1.4699 0.9967 1.3712
F 1.4699 3.9723 1.3712
```

Summary:
Symmetry: P2_1/m
DOS at the Fermi energy, states/eV/cell: 3.1


If we sort the structures by their calculated energies, the order from most to least stable is x, w.


w:
This record from Alexandria describes a relaxed structure of NbSF2. The functional is PBE.

The structure in extended XYZ format:
```
4
Lattice="0.0000 2.9008 2.9008 2.9008 0.0000 2.9008 2.9008 2.9008 0.0000" Properties=species:S:1:pos:R:3 pbc="T T T"
Nb 0.0000 0.0000 0.0000
S 2.9008 2.9008 2.9008
F 1.4504 1.4504 1.4504
F 4.3512 4.3512 4.3512
```

Summary:
Symmetry: Fm-3m
DOS at the Fermi energy, states/eV/cell: 2.6


x:
This record from Alexandria describes a relaxed structure of NbSF2. The functional is PBE.

The structure in extended XYZ format:
```
4
Lattice="1.3954 0.8056 10.1510 -1.3954 0.8056 10.1510 0.0000 -1.6113 10.1510" Properties=species:S:1:pos:R:3 pbc="T T T"
Nb 0.0000 0.0000 0.0000
S 0.0000 0.0000 15.2265
F 0.0000 0.0000 11.6645
F 0.0000 0.0000 18.7886
```

Summary:
Symmetry: R-3m
DOS at the Fermi energy, states/eV/cell: 2.1


If we sort the structures by their calculated energies, the order from most to least stable is x, w.


w:
This record from Alexandria describes a relaxed structure of Nb2SbF. The functional is PBE.

The structure in extended XYZ format:
```
8
Lattice="-2.3286 2.3286 7.6135 2.3286 -2.3286 7.6135 2.3286 2.3286 -7.6135" Properties=species:S:1:pos:R:3 pbc="T T T"
Nb 0.5439 1.1643 1.9034
Nb -1.1643 1.7847 5.7102
Nb -0.5439 3.4929 1.9034
Nb 1.1643 2.8724 5.7102
Sb 2.3286 0.0000 3.8068
Sb 0.0000 0.0000 7.6135
F 0.0000 0.0000 0.0000
F 0.0000 2.3286 3.8068
```

Summary:
Symmetry: I-42d
DOS at the Fermi energy, states/eV/cell: 6.1


x:
This record from Alexandria describes a relaxed structure of Nb2SbF. The functional is PBE.

The structure in extended XYZ format:
```
4
Lattice="0.0000 3.2645 3.2645 3.2645 0.0000 3.2645 3.2645 3.2645 0.0000" Properties=species:S:1:pos:R:3 pbc="T T T"
Nb 1.6323 1.6323 1.6323
Nb 4.8968 4.8968 4.8968
Sb 0.0000 0.0000 0.0000
F 3.2645 3.2645 3.2645
```

Summary:
Symmetry: Fm-3m
DOS at the Fermi energy, states/eV/cell: 2.2


If we sort the structures by their calculated energies, the order from most to least stable is x, w.


w:
This record from Alexandria describes a relaxed structure of Nb2SbF2. The functional is PBE.

The structure in extended XYZ format:
```
10
Lattice="7.4559 0.0000 0.0000 0.0000 7.4559 0.0000 0.0000 0.0000 3.0360" Properties=species:S:1:pos:R:3 pbc="T T T"
Nb 0.9388 2.7892 0.0000
Nb 2.7892 6.5171 0.0000
Nb 4.6667 0.9388 0.0000
Nb 6.5171 4.6667 0.0000
Sb 0.0000 0.0000 0.0000
Sb 3.7279 3.7279 0.0000
F 0.8744 4.6024 1.5180
F 2.8535 0.8744 1.5180
F 4.6024 6.5815 1.5180
F 6.5815 2.8535 1.5180
```

Summary:
Symmetry: P4/mbm
DOS at the Fermi energy, states/eV/cell: 10.9


x:
This record from Alexandria describes a relaxed structure of Nb2SbF2. The functional is PBE.

The structure in extended XYZ format:
```
5
Lattice="-1.7497 1.7497 6.2381 1.7497 -1.7497 6.2381 1.7497 1.7497 -6.2381" Properties=species:S:1:pos:R:3 pbc="T T T"
Nb 0.0000 0.0000 1.4904
Nb 0.0000 0.0000 10.9857
Sb 0.0000 0.0000 6.2381
F 1.7497 0.0000 3.1190
F 0.0000 1.7497 3.1190
```

Summary:
Symmetry: I4/mmm
DOS at the Fermi energy, states/eV/cell: 4.1


If we sort the structures by their calculated energies, the order from most to least stable is x, w.


w:
This record from Alexandria describes a relaxed structure of NbSb2TeF. The functional is PBE.

The structure in extended XYZ format:
```
5
Lattice="4.6972 0.0000 0.0000 0.0000 4.6972 0.0000 0.0000 0.0000 5.2420" Properties=species:S:1:pos:R:3 pbc="T T T"
Nb 0.0000 0.0000 0.0000
Sb 0.0000 2.3486 2.6210
Sb 2.3486 0.0000 2.6210
Te 2.3486 2.3486 0.0000
F 2.3486 2.3486 2.6210
```

Summary:
Symmetry: P4/mmm
DOS at the Fermi energy, states/eV/cell: 3.4


x:
This record from Alexandria describes a relaxed structure of NbSb2TeF. The functional is PBE.

The structure in extended XYZ format:
```
5
Lattice="5.3232 0.0000 0.0000 0.0000 5.3232 0.0000 0.0000 0.0000 5.2814" Properties=species:S:1:pos:R:3 pbc="T T T"
Nb 0.0000 0.0000 0.0000
Sb 0.0000 2.6616 0.0000
Sb 2.6616 0.0000 0.0000
Te 0.0000 0.0000 2.6407
F 2.6616 2.6616 2.6407
```

Summary:
Symmetry: P4/mmm
DOS at the Fermi energy, states/eV/cell: 2.4


If we sort the structures by their calculated energies, the order from most to least stable is x, w.


w:
This record from Alexandria describes a relaxed structure of Sc2NbF. The functional is PBE.

The structure in extended XYZ format:
```
4
Lattice="1.4987 0.8653 9.1011 -1.4987 0.8653 9.1011 0.0000 -1.7306 9.1011" Properties=species:S:1:pos:R:3 pbc="T T T"
Sc 0.0000 0.0000 2.7912
Sc 0.0000 0.0000 24.5120
Nb 0.0000 0.0000 0.0000
F 0.0000 0.0000 13.6516
```

Summary:
Symmetry: R-3m
DOS at the Fermi energy, states/eV/cell: 5.4


x:
This record from Alexandria describes a relaxed structure of Sc2NbF. The functional is PBE.

The structure in extended XYZ format:
```
4
Lattice="0.0000 3.3679 3.3679 3.3679 0.0000 3.3679 3.3679 3.3679 0.0000" Properties=species:S:1:pos:R:3 pbc="T T T"
Sc 1.6839 1.6839 1.6839
Sc 5.0518 5.0518 5.0518
Nb 0.0000 0.0000 0.0000
F 3.3679 3.3679 3.3679
```

Summary:
Symmetry: Fm-3m
DOS at the Fermi energy, states/eV/cell: 5.4


If we sort the structures by their calculated energies, the order from most to least stable is w, x.